{
  "formula": "HoSc2",
  "functional": "PBE",
  "state": "relaxed",
  "formation_enthalpy_0k_mev_per_atom": 231,
  "magnetic_moment_mub_per_cell": 6.1,
  "relative_energy_ev_per_atom": 0.201,
  "lattice": [[0.0000, 4.3649, 4.3649], [4.3649, 0.0000, 4.3649], [4.3649, 4.3649, 0.0000]],
  "species": ["Ho", "Ho", "Sc", "Sc", "Sc", "Sc"],
  "fractional_positions": [[0.0000, 0.0000, 0.0000], [0.2500, 0.2500, 0.2500], [0.6250, 0.6250, 0.1250], [0.6250, 0.1250, 0.6250], [0.1250, 0.6250, 0.6250], [0.6250, 0.6250, 0.6250]]
}



{
  "formula": "Sm2HoSc2",
  "functional": "PBE",
  "state": "relaxed",
  "formation_enthalpy_0k_mev_per_atom": 348,
  "magnetic_moment_mub_per_cell": 0.4,
  "lattice": [[4.1638, 5.0846, 5.6616], [3.8311, 7.7798, 0.2061], [-6.6446, -5.1497, -2.1388]],
  "species": ["Ho", "Sc", "Sc", "Sm", "Sm"],
  "fractional_positions": [[0.5000, 0.5000, 0.0000], [0.7500, 0.2500, 0.5000], [0.2500, 0.7500, 0.5000], [0.0954, 0.0954, 0.0000], [0.9046, 0.9046, 0.0000]]
}



{
  "formula": "SmHoSc",
  "functional": "PBE",
  "state": "relaxed",
  "formation_enthalpy_0k_mev_per_atom": 681,
  "magnetic_moment_mub_per_cell": 0.0,
  "relative_energy_ev_per_atom": 0.000,
  "lattice": [[-3.3087, -3.1334, 2.6298], [-0.3766, 0.3738, 5.2345], [-4.3438, 2.0061, 2.1884]],
  "species": ["Ho", "Sc", "Sm"],
  "fractional_positions": [[0.2500, 0.2500, 0.2500], [0.0000, 0.0000, 0.0000], [0.7500, 0.7500, 0.7500]]
}



{
  "formula": "HoScSn",
  "functional": "PBE",
  "state": "relaxed",
  "magnetic_moment_mub_per_cell": 0.0,
  "relative_energy_ev_per_atom": 0.000,
  "lattice": [[2.5512, -3.3999, 2.5846], [-1.5448, -1.3546, 4.5306], [-1.9203, -4.5321, 0.7214]],
  "species": ["Ho", "Sc", "Sn"],
  "fractional_positions": [[0.2500, 0.2500, 0.2500], [0.7500, 0.7500, 0.7500], [0.0000, 0.0000, 0.0000]]
}